Below is an optimized crystal structure of ThGaSnAu, with properties calculated at the PBE level.

Results
Its formation energy is -423.5 meV/atom.

Cell and atoms, written as CIF:
```
data_ThGaSnAu
_chemical_formula_sum 'Th1 Ga1 Sn1 Au1'
_space_group_name_H-M_alt 'P 1'
_space_group_IT_number 1
_space_group_name_Hall 'P 1'
_cell_length_a 5.0916
_cell_length_b 5.0916
_cell_length_c 5.0916
_cell_angle_alpha 60.00
_cell_angle_beta 60.00
_cell_angle_gamma 60.00
loop_
_atom_site_label
_atom_site_fract_x
_atom_site_fract_y
_atom_site_fract_z
Th1 0.7500 0.7500 0.7500
Ga1 0.5000 0.5000 0.5000
Sn1 0.2500 0.2500 0.2500
Au1 0.0000 0.0000 0.0000
```

Below is an optimized crystal structure of Zn2F3, with properties calculated at the PBE level.

Results
The energy above the most stable polymorph in this dataset is 210 meV/atom. The uncorrected formation energy is -1.80 eV/atom.

Cell and atoms, written as CIF:
```
data_Zn2F3
_chemical_formula_sum 'Zn4 F6'
_space_group_name_H-M_alt 'P 1'
_space_group_IT_number 1
_space_group_name_Hall 'P 1'
_cell_length_a 5.5960
_cell_length_b 5.5960
_cell_length_c 5.8744
_cell_angle_alpha 61.56
_cell_angle_beta 61.56
_cell_angle_gamma 60.00
loop_
_atom_site_label
_atom_site_fract_x
_atom_site_fract_y
_atom_site_fract_z
F1 0.9192 0.2500 0.2500
F2 0.5808 0.9192 0.2500
F3 0.0808 0.7500 0.7500
F4 0.2500 0.5808 0.2500
F5 0.4192 0.0808 0.7500
F6 0.7500 0.4192 0.7500
Zn1 0.1492 0.1492 0.5525
Zn2 0.3508 0.3508 0.9475
Zn3 0.8508 0.8508 0.4475
Zn4 0.6492 0.6492 0.0525
```

Below is an optimized crystal structure of K2InPbI4, with properties calculated at the PBE level.

Results
The uncorrected formation energy is -0.85 eV/atom.

Cell and atoms, written as CIF:
```
data_K2InPbI4
_chemical_formula_sum 'K2 In1 Pb1 I4'
_space_group_name_H-M_alt 'P 1'
_space_group_IT_number 1
_space_group_name_Hall 'P 1'
_cell_length_a 7.0904
_cell_length_b 7.0904
_cell_length_c 8.6073
_cell_angle_alpha 114.32
_cell_angle_beta 114.32
_cell_angle_gamma 90.00
loop_
_atom_site_label
_atom_site_fract_x
_atom_site_fract_y
_atom_site_fract_z
K1 0.2500 0.7500 0.5000
K2 0.0000 0.0000 0.0000
In1 0.5000 0.5000 0.0000
I1 0.7484 0.7484 0.4967
I2 0.9889 0.4889 0.9777
I3 0.2516 0.2516 0.5033
I4 0.5111 0.0111 0.0223
Pb1 0.7500 0.2500 0.5000
```